1.
A plane-wave DFT calculation with PBE was carried out for a relaxed ScSnI3 crystal.

* total magnetization: 0.28 μB/cell
* excess energy over the best structure of this formula in the dataset: 0.000 eV/atom
* energy relative to the elements, uncorrected: -35.91 kJ per mole of atoms
* space group: Pm-3m
* density of states at the Fermi level: 5.146 states/eV per cell

```
ScSnI3
1.0
5.722 0.000 0.000
0.000 5.722 0.000
0.000 0.000 5.722
Sc Sn I
1 1 3
Cartesian
0.000 0.000 0.000 Sc
2.861 2.861 2.861 Sn
0.000 0.000 2.861 I
0.000 2.861 0.000 I
2.861 0.000 0.000 I
```

2.
A plane-wave DFT calculation with PBE was carried out for a relaxed ScSn3I crystal.

* total magnetization: 0.00 μB/cell
* excess energy over the best structure of this formula in the dataset: 0.000 eV/atom
* energy relative to the elements, uncorrected: 26.03 kJ per mole of atoms
* space group: Pm-3m
* density of states at the Fermi level: 7.025 states/eV per cell

```
ScSn3I
1.0
5.668 0.000 0.000
0.000 5.668 0.000
0.000 0.000 5.668
Sc Sn I
1 3 1
Cartesian
0.000 0.000 0.000 Sc
0.000 0.000 2.834 Sn
0.000 2.834 0.000 Sn
2.834 0.000 0.000 Sn
2.834 2.834 2.834 I
```

3.
A plane-wave DFT calculation with PBE was carried out for a relaxed ScSnI3 crystal.

* total magnetization: 1.99 μB/cell
* excess energy over the best structure of this formula in the dataset: 0.487 eV/atom
* energy relative to the elements, uncorrected: 11.06 kJ per mole of atoms
* space group: Pm-3m
* density of states at the Fermi level: 15.861 states/eV per cell

```
ScSnI3
1.0
6.112 0.000 0.000
0.000 6.112 0.000
0.000 0.000 6.112
Sc Sn I
1 1 3
Cartesian
0.000 0.000 0.000 Sc
3.056 3.056 3.056 Sn
0.000 3.056 3.056 I
3.056 0.000 3.056 I
3.056 3.056 0.000 I
```

4.
A plane-wave DFT calculation with PBE was carried out for a relaxed Sc2Sn2I crystal.

* total magnetization: 0.00 μB/cell
* excess energy over the best structure of this formula in the dataset: 0.301 eV/atom
* energy relative to the elements, uncorrected: -20.36 kJ per mole of atoms
* space group: I4/mmm
* density of states at the Fermi level: 10.646 states/eV per cell

```
Sc2Sn2I
1.0
5.542 0.000 0.000
0.000 5.542 0.000
0.000 0.000 9.729
Sc Sn I
4 4 2
Cartesian
0.000 2.771 2.432 Sc
0.000 2.771 7.297 Sc
2.771 0.000 2.432 Sc
2.771 0.000 7.297 Sc
0.000 0.000 1.446 Sn
0.000 0.000 8.284 Sn
2.771 2.771 3.419 Sn
2.771 2.771 6.310 Sn
0.000 0.000 4.865 I
2.771 2.771 0.000 I
```

Question: What is the formula in the third record?
Answer: ScSnI3